The following is a GGA+U calculation of FeNiI2O after structural relaxation, from Alexandria via LeMat-Bulk.

Cell lengths 5.7140, 5.7140, 3.6285 Å; angles 90.00, 90.00, 90.00 degrees
Sites, in units of the cell vectors:
Fe  0.0000  0.0000  0.0000
Ni  0.5000  0.5000  0.5000
I  0.0000  0.5000  0.0000
I  0.5000  0.0000  0.0000
O  0.0000  0.0000  0.5000

The energy above the lowest structure with this stoichiometry comes out at 0 meV/atom. As for the total moment: 4.265 μB per cell. Its density of states at the Fermi level is 0.77 states/eV per atom.